Here is TcTeRu2 at its PBEsol-relaxed geometry from the Alexandria database. Energies are from meta-GGA SCAN.

- Raw total energy: -35.02 eV per atom
- Magnetic moment: 0.00 Bohr magnetons per cell
- Uncorrected formation energy: 470 meV per atom

Cell: 4.5387 2.9443 4.5939 Å, 90.00 99.88 90.00°
Fractional positions:
Tc: 0.0000 0.0000 0.0000
Te: 0.0000 0.5000 0.5000
Ru: 0.5000 0.0000 0.5000
Ru: 0.5000 0.5000 0.0000